Material: CaTeAs
Method: DFT, PBE-GGA
State: relaxed

Calculated values
- formation energy without anion corrections (eV per atom) = -0.7135
- total DFT energy (no corrections) (eV for the cell shown) = -11.933
- magnetization (μB per atom) = 0.00

Lattice parameters (Å, degrees): 6.1450 6.1450 6.1450 141.42 141.42 55.70
Last column: nearest neighbours and their distance in Å.
Sites, in units of the cell vectors:
Ca: 0.0000 0.0000 0.0000  4 As 3.04, 4 Te 3.30
Te: 0.3509 0.3509 0.0000  1 As 2.64
As: 0.5934 0.5934 0.0000  1 Te 2.64



Material: Ca3TeAs
Method: DFT, PBE-GGA
State: relaxed

Calculated values
- formation energy without anion corrections (eV per atom) = -0.9329
- energy relative to the lowest polymorph listed for this composition (kJ/mol of atoms) = 0.0
- total DFT energy (no corrections) (eV for the cell shown) = -18.460
- magnetization (μB per atom) = 0.00

Lattice parameters (Å, degrees): 5.5708 5.5708 5.5708 90.00 90.00 90.00
Last column: nearest neighbours and their distance in Å.
Sites, in units of the cell vectors:
Ca: 0.0000 0.0000 0.5000  2 As 2.79
Ca: 0.0000 0.5000 0.0000  2 As 2.79
Ca: 0.5000 0.0000 0.0000  2 As 2.79
Te: 0.5000 0.5000 0.5000  12 Ca 3.94
As: 0.0000 0.0000 0.0000  6 Ca 2.79



Material: Ca4TeAs
Method: DFT, PBE-GGA
State: relaxed

Calculated values
- formation energy without anion corrections (eV per atom) = -0.0856
- total DFT energy (no corrections) (eV for the cell shown) = -16.311
- magnetization (μB per atom) = 0.00

Lattice parameters (Å, degrees): 6.4001 6.4001 6.4001 60.00 60.00 60.00
Last column: nearest neighbours and their distance in Å.
Sites, in units of the cell vectors:
Ca: 0.1254 0.1254 0.1254  6 Ca 3.19-3.21
Ca: 0.1254 0.1254 0.6238  6 Ca 3.19-3.21
Ca: 0.1254 0.6238 0.1254  6 Ca 3.19-3.21
Ca: 0.6238 0.1254 0.1254  6 Ca 3.19-3.21
Te: 0.7500 0.7500 0.7500  12 Ca 3.75, 4 As 3.92
As: 0.5000 0.5000 0.5000  12 Ca 3.75, 4 Te 3.92



Material: Ca2TeAs2
Method: DFT, PBE-GGA
State: relaxed

Calculated values
- formation energy without anion corrections (eV per atom) = -0.7744
- energy relative to the lowest polymorph listed for this composition (kJ/mol of atoms) = 24.0
- total DFT energy (no corrections) (eV for the cell shown) = -20.316
- magnetization (μB per atom) = 0.00

Lattice parameters (Å, degrees): 5.8565 5.8565 5.8565 121.10 121.10 88.11
Last column: nearest neighbours and their distance in Å.
Sites, in units of the cell vectors:
Ca: 0.2500 0.7500 0.5000  4 As 3.00
Ca: 0.7500 0.2500 0.5000  4 As 3.00
Te: 0.0000 0.0000 0.0000  2 As 2.94
As: 0.3495 0.3495 0.0000  1 As 2.53
As: 0.6505 0.6505 0.0000  1 As 2.53



Material: Ca2TeAs
Method: DFT, PBE-GGA
State: relaxed

Calculated values
- formation energy without anion corrections (eV per atom) = -1.1892
- energy relative to the lowest polymorph listed for this composition (kJ/mol of atoms) = 0.0
- total DFT energy (no corrections) (eV for the cell shown) = -16.551
- magnetization (μB per atom) = 0.00

Lattice parameters (Å, degrees): 4.2869 4.2869 7.9255 105.35 105.35 59.07
Last column: nearest neighbours and their distance in Å.
Sites, in units of the cell vectors:
Ca: 0.2470 0.2470 0.2387  3 As 3.05, 3 Te 3.15-3.16
Ca: 0.7530 0.7530 0.7613  3 As 3.05, 3 Te 3.15-3.16
Te: 0.0000 0.0000 0.5000  6 Ca 3.15-3.16
As: 0.5000 0.5000 0.0000  6 Ca 3.05



Material: Ca2TeAsW
Method: DFT, PBE-GGA
State: relaxed

Calculated values
- formation energy without anion corrections (eV per atom) = 1.0085
- total DFT energy (no corrections) (eV for the cell shown) = -19.705
- magnetization (μB per atom) = 0.96

Lattice parameters (Å, degrees): 5.7114 5.7114 5.5158 90.00 90.00 90.00
Last column: nearest neighbours and their distance in Å.
Sites, in units of the cell vectors:
Ca: 0.0000 0.5000 0.0000  2 Te 2.86
Ca: 0.5000 0.0000 0.0000  2 Te 2.86
Te: 0.0000 0.0000 0.0000  2 As 2.76, 4 Ca 2.86
As: 0.0000 0.0000 0.5000  2 Te 2.76
W: 0.5000 0.5000 0.5000  8 Ca 3.97, 4 As 4.04



Material: CaTh4As6
Method: DFT, PBE-GGA
State: relaxed

Calculated values
- E_form (eV/f.u.) = -12.8
- total DFT energy (no corrections) (eV for the cell shown) = -144.820
- magnetization (μB per atom) = 0.00

Lattice parameters (Å, degrees): 8.2867 8.2867 8.2867 89.74 89.74 89.74
Last column: nearest neighbours and their distance in Å.
Sites, in units of the cell vectors:
Ca: 0.0000 0.0000 0.0000  6 As 2.82
Ca: 0.5000 0.5000 0.5000  6 As 2.82
Th: 0.1349 0.7500 0.3651  8 As 2.99-3.22
Th: 0.2500 0.2500 0.2500  6 As 3.01
Th: 0.2500 0.6349 0.8651  8 As 2.99-3.22
Th: 0.3651 0.1349 0.7500  8 As 2.99-3.22
Th: 0.6349 0.8651 0.2500  8 As 2.99-3.22
Th: 0.7500 0.3651 0.1349  8 As 2.99-3.22
Th: 0.7500 0.7500 0.7500  6 As 3.01
Th: 0.8651 0.2500 0.6349  8 As 2.99-3.22
As: 0.0635 0.9172 0.6766  1 Ca 2.82, 3 Th 2.99-3.15
As: 0.0828 0.3234 0.9365  1 Ca 2.82, 3 Th 2.99-3.15
As: 0.1766 0.4172 0.5635  1 Ca 2.82, 3 Th 2.99-3.15
As: 0.3234 0.9365 0.0828  1 Ca 2.82, 3 Th 2.99-3.15
As: 0.4172 0.5635 0.1766  1 Ca 2.82, 3 Th 2.99-3.15
As: 0.4365 0.8234 0.5828  1 Ca 2.82, 3 Th 2.99-3.15
As: 0.5635 0.1766 0.4172  1 Ca 2.82, 3 Th 2.99-3.15
As: 0.5828 0.4365 0.8234  1 Ca 2.82, 3 Th 2.99-3.15
As: 0.6766 0.0635 0.9172  1 Ca 2.82, 3 Th 2.99-3.15
As: 0.8234 0.5828 0.4365  1 Ca 2.82, 3 Th 2.99-3.15
As: 0.9172 0.6766 0.0635  1 Ca 2.82, 3 Th 2.99-3.15
As: 0.9365 0.0828 0.3234  1 Ca 2.82, 3 Th 2.99-3.15



Material: CaThAs
Method: DFT, PBE-GGA
State: relaxed

Calculated values
- E_form (eV/f.u.) = -2.2
- total DFT energy (no corrections) (eV for the cell shown) = -32.511
- magnetization (μB per atom) = 0.15

Lattice parameters (Å, degrees): 4.3029 4.3029 8.6723 90.00 90.00 90.00
Last column: nearest neighbours and their distance in Å.
Sites, in units of the cell vectors:
Ca: 0.2500 0.7500 0.0000  4 Ca 3.04, 4 As 3.20
Ca: 0.7500 0.2500 0.0000  4 Ca 3.04, 4 As 3.20
Th: 0.2500 0.2500 0.3627  5 As 3.14-3.16
Th: 0.7500 0.7500 0.6373  5 As 3.14-3.16
As: 0.2500 0.2500 0.7266  5 Th 3.14-3.16, 4 Ca 3.20
As: 0.7500 0.7500 0.2734  5 Th 3.14-3.16, 4 Ca 3.20